No. 1
The following is a DFT calculation (PBEsol) of an optimized crystal structure of Mg2SnSb.

```
Mg2SnSb
1.0
-3.9961 3.9961 3.1697
3.9961 -3.9961 3.1697
3.9961 3.9961 -3.1697
Mg Sn Sb
4 2 2
Cartesian
1.9981 1.8955 -0.7924
2.1006 -1.9981 3.9621
1.9981 2.1006 2.3773
1.8955 5.9942 0.7924
3.9961 0.0000 1.5848
0.0000 0.0000 3.1697
0.0000 0.0000 0.0000
0.0000 3.9961 1.5848
```

Summary:
Density of states at the Fermi level, states/eV/cell: 6.454
Formation energy from raw total energies, meV/atom: -44
DFT total energy, eV/atom: -3.11

No. 2
The following is a DFT calculation (PBEsol) of an optimized crystal structure of SrNbCd2In.

```
SrNbCd2In
1.0
5.2341 0.0000 0.0000
0.0000 5.2341 0.0000
0.0000 0.0000 5.9571
Sr Nb Cd In
1 1 2 1
Cartesian
0.0000 0.0000 0.0000
2.6170 2.6170 0.0000
0.0000 2.6170 2.9786
2.6170 0.0000 2.9786
0.0000 0.0000 2.9786
```

Summary:
Density of states at the Fermi level, states/eV/cell: 5.750
Formation enthalpy at 0 K, kJ/mol of formula units: 537
DFT total energy, eV/atom: -2.49

No. 3
The following is a DFT calculation (PBEsol) of an optimized crystal structure of Zr2AlSi.

```
Zr2AlSi
1.0
3.8281 0.0000 0.0000
0.0000 1.8907 5.0618
0.0000 -1.8907 5.0618
Zr Al Si
2 1 1
Cartesian
0.0000 0.0000 0.0000
1.9141 0.0000 2.9563
0.0000 0.0000 7.3286
1.9141 0.0000 5.7379
```

Summary:
Density of states at the Fermi level, states/eV/cell: 2.155
Formation energy from raw total energies, meV/atom: -761
DFT total energy, eV/atom: -7.77